DFT (GGA-PBE) results for a relaxed structure of Sm2Dy6Er3Th.

Values from the calculation:
E (eV per cell): -57.81
V (Å³/f.u.): 380

a b c (Å): 6.156 6.156 11.765
angles (deg): 95.00 95.00 119.94
Fractional positions:
1 Sm 0.667 0.333 0.000
2 Dy 0.916 0.586 0.748
3 Er 0.167 0.833 0.500
4 Er 0.500 0.500 0.500
5 Dy 0.084 0.414 0.252
6 Er 0.833 0.167 0.500
7 Sm 0.333 0.667 0.000
8 Th 0.000 0.000 0.000
9 Dy 0.414 0.084 0.252
10 Dy 0.246 0.246 0.748
11 Dy 0.754 0.754 0.252
12 Dy 0.586 0.916 0.748

=====

DFT (GGA-PBE) results for a relaxed structure of SmDy3Er6Th2.

Values from the calculation:
E (eV per cell): -60.41
V (Å³/f.u.): 376

a b c (Å): 6.143 6.143 11.668
angles (deg): 95.05 95.05 119.96
Fractional positions:
1 Dy 0.166 0.834 0.500
2 Dy 0.834 0.166 0.500
3 Th 0.333 0.667 0.000
4 Sm 0.000 0.000 0.000
5 Er 0.254 0.254 0.751
6 Er 0.746 0.746 0.249
7 Er 0.579 0.917 0.751
8 Th 0.667 0.333 0.000
9 Er 0.421 0.083 0.249
10 Er 0.083 0.421 0.249
11 Er 0.917 0.579 0.751
12 Dy 0.500 0.500 0.500

=====

DFT (GGA-PBE) results for a relaxed structure of Sm6Dy2Er3Th.

Values from the calculation:
E (eV per cell): -58.25
V (Å³/f.u.): 389

a b c (Å): 6.202 6.202 11.867
angles (deg): 95.01 95.01 119.96
Fractional positions:
1 Sm 0.586 0.916 0.750
2 Th 0.000 0.000 0.000
3 Sm 0.414 0.084 0.250
4 Er 0.833 0.167 0.500
5 Dy 0.333 0.667 0.000
6 Dy 0.667 0.333 0.000
7 Sm 0.754 0.754 0.250
8 Sm 0.246 0.246 0.750
9 Sm 0.916 0.586 0.750
10 Sm 0.084 0.414 0.250
11 Er 0.500 0.500 0.500
12 Er 0.167 0.833 0.500

=====

DFT (GGA-PBE) results for a relaxed structure of Sm6Dy2ErTh.

Values from the calculation:
E (eV per cell): -95.15
V (Å³/f.u.): 339

a b c (Å): 19.456 6.660 6.660
angles (deg): 121.44 101.07 101.07
Fractional positions:
1 Sm 0.420 0.243 0.910
2 Sm 0.418 0.588 0.589
3 Er 0.250 0.265 0.735
4 Sm 0.082 0.411 0.412
5 Dy 0.263 0.777 0.784
6 Dy 0.237 0.216 0.223
7 Sm 0.918 0.589 0.588
8 Sm 0.080 0.755 0.087
9 Dy 0.737 0.223 0.216
10 Th 0.250 0.724 0.276
11 Sm 0.420 0.913 0.245
12 Dy 0.763 0.784 0.777
13 Sm 0.080 0.090 0.757
14 Sm 0.580 0.087 0.755
15 Sm 0.580 0.757 0.090
16 Th 0.750 0.276 0.724
17 Sm 0.582 0.412 0.411
18 Sm 0.920 0.245 0.913
19 Er 0.750 0.735 0.265
20 Sm 0.920 0.910 0.243

=====

DFT (GGA-PBE) results for a relaxed structure of Sm3Dy2Er6Th.

Values from the calculation:
E (eV per cell): -57.91
V (Å³/f.u.): 379

a b c (Å): 6.157 6.157 11.723
angles (deg): 95.03 95.03 119.99
Fractional positions:
1 Er 0.247 0.247 0.752
2 Sm 0.167 0.833 0.500
3 Er 0.753 0.753 0.248
4 Er 0.413 0.083 0.248
5 Dy 0.667 0.333 0.000
6 Sm 0.833 0.167 0.500
7 Dy 0.333 0.667 0.000
8 Er 0.083 0.413 0.248
9 Sm 0.500 0.500 0.500
10 Er 0.587 0.917 0.752
11 Er 0.917 0.587 0.752
12 Th 0.000 0.000 0.000

=====

DFT (GGA-PBE) results for a relaxed structure of SmDyEr2Th.

Values from the calculation:
E (eV per cell): -48.47
V (Å³/f.u.): 171

a b c (Å): 5.609 8.644 7.056
angles (deg): 90.03 90.00 90.00
Fractional positions:
1 Th 0.500 0.000 0.750
2 Dy 0.000 0.500 0.250
3 Dy 0.000 0.500 0.750
4 Er 0.500 0.679 0.000
5 Er 0.500 0.321 0.500
6 Th 0.500 0.000 0.250
7 Sm 0.000 0.000 0.500
8 Er 0.500 0.679 0.500
9 Er 0.500 0.321 0.000
10 Sm 0.000 0.000 0.000

=====

DFT (GGA-PBE) results for a relaxed structure of Sm3Dy6ErTh2.

Values from the calculation:
E (eV per cell): -60.94
V (Å³/f.u.): 384

a b c (Å): 6.182 6.182 11.793
angles (deg): 95.03 95.03 119.97
Fractional positions:
1 Dy 0.918 0.581 0.754
2 Dy 0.255 0.255 0.754
3 Th 0.333 0.667 0.000
4 Sm 0.833 0.167 0.500
5 Sm 0.167 0.833 0.500
6 Er 0.000 0.000 0.000
7 Th 0.667 0.333 0.000
8 Dy 0.082 0.419 0.246
9 Sm 0.500 0.500 0.500
10 Dy 0.745 0.745 0.246
11 Dy 0.419 0.082 0.246
12 Dy 0.581 0.918 0.754

=====

DFT (GGA-PBE) results for a relaxed structure of SmDy6Er2Th.

Values from the calculation:
E (eV per cell): -94.87
V (Å³/f.u.): 322

a b c (Å): 9.582 8.728 8.728
angles (deg): 117.02 93.95 93.95
Fractional positions:
1 Dy 0.441 0.251 0.880
2 Dy 0.684 0.023 0.571
3 Dy 0.816 0.429 0.977
4 Dy 0.184 0.571 0.023
5 Er 0.453 0.806 0.704
6 Er 0.953 0.704 0.806
7 Dy 0.881 0.297 0.508
8 Dy 0.316 0.977 0.429
9 Dy 0.941 0.880 0.251
10 Th 0.250 0.406 0.594
11 Sm 0.750 0.025 0.975
12 Dy 0.119 0.703 0.492
13 Er 0.047 0.296 0.194
14 Dy 0.559 0.749 0.120
15 Sm 0.250 0.975 0.025
16 Er 0.547 0.194 0.296
17 Dy 0.381 0.508 0.297
18 Dy 0.619 0.492 0.703
19 Th 0.750 0.594 0.406
20 Dy 0.059 0.120 0.749